No. 1
Density functional theory data (PBE-GGA) for crystalline ZnAsIr at its relaxed geometry.

```
data_ZnAsIr
_chemical_formula_sum 'Zn4 As4 Ir4'
_cell_length_a 2.986
_cell_length_b 12.939
_cell_length_c 5.025
_cell_angle_alpha 90.00
_cell_angle_beta 90.00
_cell_angle_gamma 90.00
_symmetry_space_group_name_H-M 'C m c m'
_symmetry_Int_Tables_number 63
_symmetry_space_group_name_Hall '-C 2c 2'
loop_
_atom_site_label
_atom_site_type_symbol
_atom_site_fract_x
_atom_site_fract_y
_atom_site_fract_z
Zn1 Zn 0.000 0.000 0.000
As1 As 0.000 0.298 0.250
Ir1 Ir 0.000 0.359 0.750
```

Summary:
ΔE_f = -0.19 eV per atom
energy = -61.36 eV for the cell shown

No. 2
Density functional theory data (PBE-GGA) for crystalline Zn2AsIr at its relaxed geometry.

```
data_Zn2AsIr
_chemical_formula_sum 'Zn8 As4 Ir4'
_cell_length_a 6.257
_cell_length_b 6.257
_cell_length_c 6.257
_cell_angle_alpha 90.00
_cell_angle_beta 90.00
_cell_angle_gamma 90.00
_symmetry_space_group_name_H-M 'F -4 3 m'
_symmetry_Int_Tables_number 216
_symmetry_space_group_name_Hall 'F -4 2 3'
loop_
_atom_site_label
_atom_site_type_symbol
_atom_site_fract_x
_atom_site_fract_y
_atom_site_fract_z
Zn1 Zn 0.000 0.000 0.000
Zn2 Zn 0.250 0.250 0.250
As1 As 0.000 0.000 0.500
Ir1 Ir 0.250 0.250 0.750
```

Summary:
ΔE_f = 0.12 eV per atom
energy = -62.38 eV for the cell shown

No. 3
Density functional theory data (PBE-GGA) for crystalline Zn2AsIr at its relaxed geometry.

```
data_Zn2AsIr
_chemical_formula_sum 'Zn2 As1 Ir1'
_cell_length_a 2.914
_cell_length_b 2.914
_cell_length_c 7.929
_cell_angle_alpha 90.00
_cell_angle_beta 90.00
_cell_angle_gamma 90.00
_symmetry_space_group_name_H-M 'P 4 m m'
_symmetry_Int_Tables_number 99
_symmetry_space_group_name_Hall 'P 4 -2'
loop_
_atom_site_label
_atom_site_type_symbol
_atom_site_fract_x
_atom_site_fract_y
_atom_site_fract_z
Zn1 Zn 0.000 0.000 0.000
Zn2 Zn 0.500 0.500 0.242
As1 As 0.000 0.000 0.575
Ir1 Ir 0.500 0.500 0.769
```

Summary:
ΔE_f = -0.01 eV per atom
energy = -16.12 eV for the cell shown

No. 4
Density functional theory data (PBE-GGA) for crystalline ZnAsIr at its relaxed geometry.

```
data_ZnAsIr
_chemical_formula_sum 'Zn2 As2 Ir2'
_cell_length_a 2.941
_cell_length_b 2.941
_cell_length_c 11.697
_cell_angle_alpha 90.00
_cell_angle_beta 90.00
_cell_angle_gamma 90.00
_symmetry_space_group_name_H-M 'I 4 m m'
_symmetry_Int_Tables_number 107
_symmetry_space_group_name_Hall 'I 4 -2'
loop_
_atom_site_label
_atom_site_type_symbol
_atom_site_fract_x
_atom_site_fract_y
_atom_site_fract_z
Zn1 Zn 0.000 0.000 0.000
As1 As 0.000 0.000 0.282
Ir1 Ir 0.000 0.000 0.649
```

Summary:
ΔE_f = -0.05 eV per atom
energy = -29.85 eV for the cell shown

No. 5
Density functional theory data (PBE-GGA) for crystalline ZnAs4Ir at its relaxed geometry.

```
data_ZnAs4Ir
_chemical_formula_sum 'Zn4 As16 Ir4'
_cell_length_a 7.658
_cell_length_b 7.658
_cell_length_c 7.658
_cell_angle_alpha 90.00
_cell_angle_beta 90.00
_cell_angle_gamma 90.00
_symmetry_space_group_name_H-M 'F -4 3 m'
_symmetry_Int_Tables_number 216
_symmetry_space_group_name_Hall 'F -4 2 3'
loop_
_atom_site_label
_atom_site_type_symbol
_atom_site_fract_x
_atom_site_fract_y
_atom_site_fract_z
Zn1 Zn 0.000 0.000 0.000
As1 As 0.127 0.127 0.627
Ir1 Ir 0.250 0.250 0.250
```

Summary:
ΔE_f = 0.79 eV per atom
energy = -95.90 eV for the cell shown

No. 6
Density functional theory data (PBE-GGA) for crystalline ZnAs2Ir at its relaxed geometry.

```
data_ZnAs2Ir
_chemical_formula_sum 'Zn1 As2 Ir1'
_cell_length_a 4.185
_cell_length_b 4.185
_cell_length_c 3.730
_cell_angle_alpha 90.00
_cell_angle_beta 90.00
_cell_angle_gamma 90.00
_symmetry_space_group_name_H-M 'P 4/m m m'
_symmetry_Int_Tables_number 123
_symmetry_space_group_name_Hall '-P 4 2'
loop_
_atom_site_label
_atom_site_type_symbol
_atom_site_fract_x
_atom_site_fract_y
_atom_site_fract_z
Zn1 Zn 0.000 0.000 0.000
As1 As 0.000 0.500 0.500
Ir1 Ir 0.500 0.500 0.000
```

Summary:
ΔE_f = 0.26 eV per atom
energy = -18.38 eV for the cell shown

No. 7
Density functional theory data (PBE-GGA) for crystalline ZnAs2Ir at its relaxed geometry.

```
data_ZnAs2Ir
_chemical_formula_sum 'Zn2 As4 Ir2'
_cell_length_a 4.035
_cell_length_b 4.035
_cell_length_c 7.976
_cell_angle_alpha 90.00
_cell_angle_beta 90.00
_cell_angle_gamma 90.00
_symmetry_space_group_name_H-M 'I -4 m 2'
_symmetry_Int_Tables_number 119
_symmetry_space_group_name_Hall 'I -4 -2'
loop_
_atom_site_label
_atom_site_type_symbol
_atom_site_fract_x
_atom_site_fract_y
_atom_site_fract_z
Zn1 Zn 0.000 0.000 0.000
As1 As 0.000 0.000 0.500
As2 As 0.000 0.500 0.750
Ir1 Ir 0.000 0.500 0.250
```

Summary:
ΔE_f = 0.26 eV per atom
energy = -36.80 eV for the cell shown

No. 8
Density functional theory data (PBE-GGA) for crystalline ZnAsIr at its relaxed geometry.

```
data_ZnAsIr
_chemical_formula_sum 'Zn2 As2 Ir2'
_cell_length_a 5.241
_cell_length_b 3.983
_cell_length_c 5.433
_cell_angle_alpha 90.00
_cell_angle_beta 113.46
_cell_angle_gamma 90.00
_symmetry_space_group_name_H-M 'P 1 21/m 1'
_symmetry_Int_Tables_number 11
_symmetry_space_group_name_Hall '-P 2yb'
loop_
_atom_site_label
_atom_site_type_symbol
_atom_site_fract_x
_atom_site_fract_y
_atom_site_fract_z
Zn1 Zn 0.091 0.250 0.403
As1 As 0.322 0.750 0.075
Ir1 Ir 0.444 0.750 0.664
```

Summary:
ΔE_f = -0.13 eV per atom
energy = -30.36 eV for the cell shown

No. 9
Density functional theory data (PBE-GGA) for crystalline ZnAsIr3 at its relaxed geometry.

```
data_ZnAsIr3
_chemical_formula_sum 'Zn1 As1 Ir3'
_cell_length_a 4.541
_cell_length_b 4.541
_cell_length_c 4.541
_cell_angle_alpha 90.00
_cell_angle_beta 90.00
_cell_angle_gamma 90.00
_symmetry_space_group_name_H-M 'P m -3 m'
_symmetry_Int_Tables_number 221
_symmetry_space_group_name_Hall '-P 4 2 3'
loop_
_atom_site_label
_atom_site_type_symbol
_atom_site_fract_x
_atom_site_fract_y
_atom_site_fract_z
Zn1 Zn 0.000 0.000 0.000
As1 As 0.500 0.500 0.500
Ir1 Ir 0.000 0.000 0.500
```

Summary:
ΔE_f = 1.54 eV per atom
energy = -24.79 eV for the cell shown

No. 10
Density functional theory data (PBE-GGA) for crystalline Zn2AsIr at its relaxed geometry.

```
data_Zn2AsIr
_chemical_formula_sum 'Zn2 As1 Ir1'
_cell_length_a 3.175
_cell_length_b 4.209
_cell_length_c 4.627
_cell_angle_alpha 90.00
_cell_angle_beta 90.00
_cell_angle_gamma 90.00
_symmetry_space_group_name_H-M 'P m m m'
_symmetry_Int_Tables_number 47
_symmetry_space_group_name_Hall '-P 2 2'
loop_
_atom_site_label
_atom_site_type_symbol
_atom_site_fract_x
_atom_site_fract_y
_atom_site_fract_z
Zn1 Zn 0.000 0.000 0.000
Zn2 Zn 0.500 0.000 0.500
As1 As 0.000 0.500 0.500
Ir1 Ir 0.500 0.500 0.000
```

Summary:
ΔE_f = 0.11 eV per atom
energy = -15.62 eV for the cell shown

No. 11
Density functional theory data (PBE-GGA) for crystalline Zn2AsIr2 at its relaxed geometry.

```
data_Zn2AsIr2
_chemical_formula_sum 'Zn4 As2 Ir4'
_cell_length_a 7.161
_cell_length_b 7.161
_cell_length_c 3.017
_cell_angle_alpha 90.00
_cell_angle_beta 90.00
_cell_angle_gamma 90.00
_symmetry_space_group_name_H-M 'P 4/m b m'
_symmetry_Int_Tables_number 127
_symmetry_space_group_name_Hall '-P 4 2ab'
loop_
_atom_site_label
_atom_site_type_symbol
_atom_site_fract_x
_atom_site_fract_y
_atom_site_fract_z
Zn1 Zn 0.128 0.372 0.000
As1 As 0.000 0.000 0.500
Ir1 Ir 0.170 0.670 0.500
```

Summary:
ΔE_f = 0.05 eV per atom
energy = -49.31 eV for the cell shown

No. 12
Density functional theory data (PBE-GGA) for crystalline Zn2AsIr at its relaxed geometry.

```
data_Zn2AsIr
_chemical_formula_sum 'Zn8 As4 Ir4'
_cell_length_a 9.662
_cell_length_b 9.662
_cell_length_c 4.575
_cell_angle_alpha 90.00
_cell_angle_beta 90.00
_cell_angle_gamma 90.00
_symmetry_space_group_name_H-M 'I 41/a m d'
_symmetry_Int_Tables_number 141
loop_
_symmetry_equiv_pos_as_xyz
'x,y,z'
'-x,-y,-z'
'-y+1/4,x+3/4,z+1/4'
'y+1/4,-x+3/4,-z+1/4'
'-x+1/2,-y,z+1/2'
'x+1/2,y,-z+1/2'
'y+1/4,-x+1/4,z+3/4'
'-y+1/4,x+1/4,-z+3/4'
'x,-y,-z'
'-x,y,z'
'-y+1/4,-x+1/4,-z+3/4'
'y+1/4,x+1/4,z+3/4'
'-x+1/2,y,-z+1/2'
'x+1/2,-y,z+1/2'
'y+1/4,x+3/4,-z+1/4'
'-y+1/4,-x+3/4,z+1/4'
'x+1/2,y+1/2,z+1/2'
'-x+1/2,-y+1/2,-z+1/2'
'-y+3/4,x+1/4,z+3/4'
'y+3/4,-x+1/4,-z+3/4'
'-x,-y+1/2,z'
'x,y+1/2,-z'
'y+3/4,-x+3/4,z+1/4'
'-y+3/4,x+3/4,-z+1/4'
'x+1/2,-y+1/2,-z+1/2'
'-x+1/2,y+1/2,z+1/2'
'-y+3/4,-x+3/4,-z+1/4'
'y+3/4,x+3/4,z+1/4'
'-x,y+1/2,-z'
'x,-y+1/2,z'
'y+3/4,x+1/4,-z+3/4'
'-y+3/4,-x+1/4,z+3/4'
loop_
_atom_site_label
_atom_site_type_symbol
_atom_site_fract_x
_atom_site_fract_y
_atom_site_fract_z
Zn1 Zn 0.000 0.000 0.000
As1 As 0.000 0.250 0.375
Ir1 Ir 0.000 0.250 0.875
```

Summary:
ΔE_f = 0.07 eV per atom
energy = -63.14 eV for the cell shown

No. 13
Density functional theory data (PBE-GGA) for crystalline ZnAsIr at its relaxed geometry.

```
data_ZnAsIr
_chemical_formula_sum 'Zn4 As4 Ir4'
_cell_length_a 4.341
_cell_length_b 4.341
_cell_length_c 11.298
_cell_angle_alpha 90.00
_cell_angle_beta 90.00
_cell_angle_gamma 90.00
_symmetry_space_group_name_H-M 'I 4/m m m'
_symmetry_Int_Tables_number 139
_symmetry_space_group_name_Hall '-I 4 2'
loop_
_atom_site_label
_atom_site_type_symbol
_atom_site_fract_x
_atom_site_fract_y
_atom_site_fract_z
Zn1 Zn 0.000 0.500 0.000
As1 As 0.000 0.500 0.250
Ir1 Ir 0.000 0.000 0.131
```

Summary:
ΔE_f = -0.19 eV per atom
energy = -61.41 eV for the cell shown

No. 14
Density functional theory data (PBE-GGA) for crystalline ZnAs2Ir at its relaxed geometry.

```
data_ZnAs2Ir
_chemical_formula_sum 'Zn3 As6 Ir3'
_cell_length_a 2.9733
_cell_length_b 2.9733
_cell_length_c 26.9985
_cell_angle_alpha 90.00
_cell_angle_beta 90.00
_cell_angle_gamma 120.00
_symmetry_space_group_name_H-M 'R 3 m'
_symmetry_Int_Tables_number 160
_symmetry_space_group_name_Hall 'R 3 -2"'
loop_
_atom_site_label
_atom_site_type_symbol
_atom_site_fract_x
_atom_site_fract_y
_atom_site_fract_z
Zn1 Zn 0.0000 0.0000 0.0000
As1 As 0.0000 0.0000 0.5200
As2 As 0.0000 0.0000 0.7475
Ir1 Ir 0.0000 0.0000 0.2558
```

Summary:
ΔE_f = 0.10 eV per atom
energy = -57.15 eV for the cell shown

No. 15
Density functional theory data (PBE-GGA) for crystalline Zn2AsIr at its relaxed geometry.

```
data_Zn2AsIr
_chemical_formula_sum 'Zn4 As2 Ir2'
_cell_length_a 2.868
_cell_length_b 4.220
_cell_length_c 11.525
_cell_angle_alpha 90.00
_cell_angle_beta 90.00
_cell_angle_gamma 90.00
_symmetry_space_group_name_H-M 'I m m 2'
_symmetry_Int_Tables_number 44
_symmetry_space_group_name_Hall 'I 2 -2'
loop_
_atom_site_label
_atom_site_type_symbol
_atom_site_fract_x
_atom_site_fract_y
_atom_site_fract_z
Zn1 Zn 0.000 0.000 0.000
Zn2 Zn 0.000 0.500 0.167
As1 As 0.000 0.500 0.790
Ir1 Ir 0.000 0.000 0.469
```

Summary:
ΔE_f = -0.09 eV per atom
energy = -32.82 eV for the cell shown

No. 16
Density functional theory data (PBE-GGA) for crystalline ZnAs2Ir at its relaxed geometry.

```
data_ZnAs2Ir
_chemical_formula_sum 'Zn1 As2 Ir1'
_cell_length_a 4.026
_cell_length_b 4.610
_cell_length_c 4.465
_cell_angle_alpha 90.00
_cell_angle_beta 113.62
_cell_angle_gamma 90.00
_symmetry_space_group_name_H-M 'P 1 m 1'
_symmetry_Int_Tables_number 6
_symmetry_space_group_name_Hall 'P -2y'
loop_
_atom_site_label
_atom_site_type_symbol
_atom_site_fract_x
_atom_site_fract_y
_atom_site_fract_z
Zn1 Zn 0.000 0.000 0.000
As1 As 0.396 0.500 0.950
As2 As 0.677 0.000 0.365
Ir1 Ir 0.747 0.500 0.624
```

Summary:
ΔE_f = -0.03 eV per atom
energy = -19.55 eV for the cell shown

No. 17
Density functional theory data (PBE-GGA) for crystalline ZnAsIr at its relaxed geometry.

```
data_ZnAsIr
_chemical_formula_sum 'Zn2 As2 Ir2'
_cell_length_a 3.037
_cell_length_b 6.737
_cell_length_c 4.894
_cell_angle_alpha 90.00
_cell_angle_beta 90.00
_cell_angle_gamma 90.00
_symmetry_space_group_name_H-M 'P m n 21'
_symmetry_Int_Tables_number 31
_symmetry_space_group_name_Hall 'P 2ac -2'
loop_
_atom_site_label
_atom_site_type_symbol
_atom_site_fract_x
_atom_site_fract_y
_atom_site_fract_z
Zn1 Zn 0.000 0.019 0.000
As1 As 0.000 0.595 0.794
Ir1 Ir 0.000 0.700 0.293
```

Summary:
ΔE_f = -0.19 eV per atom
energy = -30.72 eV for the cell shown

No. 18
Density functional theory data (PBE-GGA) for crystalline Zn2AsIr at its relaxed geometry.

```
data_Zn2AsIr
_chemical_formula_sum 'Zn4 As2 Ir2'
_cell_length_a 9.057
_cell_length_b 2.969
_cell_length_c 4.625
_cell_angle_alpha 90.00
_cell_angle_beta 98.41
_cell_angle_gamma 90.00
_symmetry_space_group_name_H-M 'C 1 2/m 1'
_symmetry_Int_Tables_number 12
_symmetry_space_group_name_Hall '-C 2y'
loop_
_atom_site_label
_atom_site_type_symbol
_atom_site_fract_x
_atom_site_fract_y
_atom_site_fract_z
Zn1 Zn 0.241 0.000 0.232
As1 As 0.000 0.000 0.500
Ir1 Ir 0.000 0.500 0.000
```

Summary:
ΔE_f = 0.06 eV per atom
energy = -31.61 eV for the cell shown

No. 19
Density functional theory data (PBE-GGA) for crystalline ZnAs2Ir at its relaxed geometry.

```
data_ZnAs2Ir
_chemical_formula_sum 'Zn2 As4 Ir2'
_cell_length_a 2.821
_cell_length_b 4.988
_cell_length_c 10.095
_cell_angle_alpha 90.00
_cell_angle_beta 90.00
_cell_angle_gamma 90.00
_symmetry_space_group_name_H-M 'C m m m'
_symmetry_Int_Tables_number 65
_symmetry_space_group_name_Hall '-C 2 2'
loop_
_atom_site_label
_atom_site_type_symbol
_atom_site_fract_x
_atom_site_fract_y
_atom_site_fract_z
Zn1 Zn 0.000 0.000 0.000
As1 As 0.000 0.500 0.283
Ir1 Ir 0.000 0.000 0.500
```

Summary:
ΔE_f = 0.23 eV per atom
energy = -37.05 eV for the cell shown

No. 20
Density functional theory data (PBE-GGA) for crystalline ZnAs2Ir at its relaxed geometry.

```
data_ZnAs2Ir
_chemical_formula_sum 'Zn2 As4 Ir2'
_cell_length_a 2.937
_cell_length_b 3.849
_cell_length_c 12.868
_cell_angle_alpha 90.00
_cell_angle_beta 90.00
_cell_angle_gamma 90.00
_symmetry_space_group_name_H-M 'I m m 2'
_symmetry_Int_Tables_number 44
_symmetry_space_group_name_Hall 'I 2 -2'
loop_
_atom_site_label
_atom_site_type_symbol
_atom_site_fract_x
_atom_site_fract_y
_atom_site_fract_z
Zn1 Zn 0.000 0.000 0.000
As1 As 0.000 0.000 0.605
As2 As 0.000 0.500 0.841
Ir1 Ir 0.000 0.500 0.265
```

Summary:
ΔE_f = 0.11 eV per atom
energy = -37.96 eV for the cell shown